Record 1
This record from OQMD via LeMat-Bulk describes a geometry-optimized Rb2HoN3 structure. The functional is PBE-GGA.

Structure (POSCAR):
```
Rb2HoN3
1.0
5.720 0.000 0.000
-2.860 4.953 0.000
0.000 0.000 4.149
Rb N Ho
2 3 1
Direct
0.333 0.667 0.500
0.667 0.333 0.500
0.000 0.500 0.000
0.500 0.000 0.000
0.500 0.500 0.000
0.000 0.000 0.500
```

Uncorrected energy, eV per atom: -2.998
Calculated density, kg/m3: 5338



Record 2
This record from OQMD via LeMat-Bulk describes a geometry-optimized Ho3Re2W3N12 structure. The functional is PBE-GGA.

Structure (POSCAR):
```
Ho3Re2W3N12
1.0
-6.325 6.325 6.325
6.325 -6.325 6.325
6.325 6.325 -6.325
Re Ho N W
8 12 48 12
Direct
0.500 0.500 0.500
0.000 0.500 0.000
0.500 0.500 0.000
0.000 0.500 0.500
0.500 0.000 0.500
0.000 0.000 0.000
0.500 0.000 0.000
0.000 0.000 0.500
0.625 0.875 0.750
0.875 0.750 0.625
0.250 0.875 0.625
0.750 0.125 0.375
0.250 0.375 0.125
0.125 0.250 0.375
0.375 0.125 0.250
0.125 0.375 0.750
0.375 0.750 0.125
0.750 0.625 0.875
0.875 0.625 0.250
0.625 0.250 0.875
0.680 0.085 0.702
0.702 0.680 0.085
0.298 0.320 0.915
0.820 0.798 0.415
0.180 0.202 0.585
0.617 0.702 0.522
0.405 0.820 0.522
0.595 0.180 0.478
0.798 0.883 0.978
0.202 0.117 0.022
0.022 0.320 0.905
0.905 0.022 0.320
0.915 0.117 0.595
0.415 0.095 0.617
0.978 0.680 0.095
0.915 0.298 0.320
0.383 0.298 0.478
0.085 0.883 0.405
0.883 0.978 0.798
0.798 0.415 0.820
0.320 0.915 0.298
0.883 0.405 0.085
0.905 0.383 0.585
0.680 0.095 0.978
0.202 0.585 0.180
0.522 0.617 0.702
0.117 0.595 0.915
0.180 0.478 0.595
0.585 0.905 0.383
0.095 0.617 0.415
0.320 0.905 0.022
0.298 0.478 0.383
0.522 0.405 0.820
0.383 0.585 0.905
0.978 0.798 0.883
0.022 0.202 0.117
0.478 0.595 0.180
0.095 0.978 0.680
0.415 0.820 0.798
0.405 0.085 0.883
0.085 0.702 0.680
0.585 0.180 0.202
0.478 0.383 0.298
0.117 0.022 0.202
0.617 0.415 0.095
0.820 0.522 0.405
0.595 0.915 0.117
0.702 0.522 0.617
0.750 0.375 0.625
0.625 0.375 0.250
0.875 0.125 0.750
0.250 0.125 0.875
0.750 0.875 0.125
0.375 0.625 0.750
0.125 0.875 0.250
0.625 0.750 0.375
0.375 0.250 0.625
0.875 0.250 0.125
0.250 0.625 0.375
0.125 0.750 0.875
```

Uncorrected energy, eV per atom: -9.512
Calculated density, kg/m3: 10415



Record 3
This record from OQMD via LeMat-Bulk describes a geometry-optimized Ho3SN2 structure. The functional is PBE-GGA.

Structure (POSCAR):
```
Ho3SN2
1.0
-3.116 -1.634 -0.368
2.092 -0.777 2.745
-3.974 6.482 4.864
Ho N S
3 2 1
Direct
0.000 0.000 0.000
0.333 0.667 0.295
0.667 0.333 0.705
0.667 0.333 0.160
0.333 0.667 0.840
0.000 0.000 0.500
```

Uncorrected energy, eV per atom: -7.593
Calculated density, kg/m3: 9420



Record 4
This record from OQMD via LeMat-Bulk describes a geometry-optimized Ho4SnSN2 structure. The functional is PBE-GGA.

Structure (POSCAR):
```
Ho4SnSN2
1.0
3.547 0.000 0.000
-1.773 3.072 0.000
0.000 0.000 13.919
Ho S Sn N
4 1 1 2
Direct
0.000 0.000 0.321
0.333 0.667 0.134
0.333 0.667 0.866
0.000 0.000 0.679
0.000 0.000 0.000
0.333 0.667 0.500
0.667 0.333 0.227
0.667 0.333 0.773
```

Uncorrected energy, eV per atom: -6.907
Calculated density, kg/m3: 9182



Record 5
This record from OQMD via LeMat-Bulk describes a geometry-optimized Ho4TlSN2 structure. The functional is PBE-GGA.

Structure (POSCAR):
```
Ho4TlSN2
1.0
3.550 0.000 0.000
-1.775 3.075 0.000
0.000 0.000 14.095
S Ho N Tl
1 4 2 1
Direct
0.000 0.000 0.000
0.000 0.000 0.318
0.000 0.000 0.682
0.333 0.667 0.132
0.333 0.667 0.868
0.667 0.333 0.776
0.667 0.333 0.224
0.333 0.667 0.500
```

Uncorrected energy, eV per atom: -6.615
Calculated density, kg/m3: 9974



Record 6
This record from OQMD via LeMat-Bulk describes a geometry-optimized Ho2ScN3 structure. The functional is PBE-GGA.

Structure (POSCAR):
```
Ho2ScN3
1.0
-2.038 -0.086 -2.664
0.813 -2.845 1.583
-6.494 0.894 4.939
N Sc Ho
3 1 2
Direct
0.333 0.667 0.344
0.667 0.333 0.656
0.000 0.000 0.000
0.000 0.000 0.500
0.333 0.667 0.827
0.667 0.333 0.173
```

Uncorrected energy, eV per atom: -8.507
Calculated density, kg/m3: 8648



Record 7
This record from OQMD via LeMat-Bulk describes a geometry-optimized HoSc2N3 structure. The functional is PBE-GGA.

Structure (POSCAR):
```
HoSc2N3
1.0
3.270 0.000 0.000
-1.635 2.832 0.000
0.000 0.000 8.001
N Sc Ho
3 2 1
Direct
0.667 0.333 0.679
0.000 0.000 0.000
0.333 0.667 0.321
0.667 0.333 0.160
0.333 0.667 0.840
0.000 0.000 0.500
```

Uncorrected energy, eV per atom: -8.854
Calculated density, kg/m3: 6654



Record 8
This record from OQMD via LeMat-Bulk describes a geometry-optimized Ho3SeN2 structure. The functional is PBE-GGA.

Structure (POSCAR):
```
Ho3SeN2
1.0
3.568 0.000 0.000
-1.784 3.090 0.000
0.000 0.000 9.262
Ho N Se
3 2 1
Direct
0.000 0.000 0.000
0.667 0.333 0.715
0.333 0.667 0.285
0.333 0.667 0.844
0.667 0.333 0.156
0.000 0.000 0.500
```

Uncorrected energy, eV per atom: -7.376
Calculated density, kg/m3: 9786



Record 9
This record from OQMD via LeMat-Bulk describes a geometry-optimized Ho4Se3N structure. The functional is PBE-GGA.

Structure (POSCAR):
```
Ho4Se3N
1.0
1.699 -4.946 4.399
4.599 2.375 4.462
-6.060 2.418 -2.033
Se Ho N
3 4 1
Direct
0.500 0.500 0.000
0.750 0.250 0.500
0.250 0.750 0.500
0.204 0.204 0.000
0.500 0.000 0.500
0.000 0.500 0.500
0.796 0.796 0.000
0.000 0.000 0.000
```

Uncorrected energy, eV per atom: -6.226
Calculated density, kg/m3: 8730



Record 10
This record from OQMD via LeMat-Bulk describes a geometry-optimized TbHoSi2W2N structure. The functional is PBE-GGA.

Structure (POSCAR):
```
TbHoSi2W2N
1.0
-4.153 3.343 2.372
-5.637 -0.025 1.510
5.052 -3.201 3.810
Tb Ho W N Si
1 1 2 1 2
Direct
0.424 0.424 0.700
0.575 0.575 0.298
0.205 0.205 0.084
0.795 0.795 0.916
0.001 0.001 0.002
0.132 0.132 0.660
0.868 0.868 0.339
```

Uncorrected energy, eV per atom: -8.489
Calculated density, kg/m3: 10476



Record 11
This record from OQMD via LeMat-Bulk describes a geometry-optimized Sm2HoN3 structure. The functional is PBE-GGA.

Structure (POSCAR):
```
Sm2HoN3
1.0
-2.174 0.959 2.601
1.594 -3.140 0.104
6.633 3.509 4.252
Sm N Ho
2 3 1
Direct
0.667 0.333 0.170
0.333 0.667 0.830
0.000 0.000 0.000
0.667 0.333 0.659
0.333 0.667 0.341
0.000 0.000 0.500
```

Uncorrected energy, eV per atom: -8.056
Calculated density, kg/m3: 9094



Record 12
This record from OQMD via LeMat-Bulk describes a geometry-optimized SmHo2N3 structure. The functional is PBE-GGA.

Structure (POSCAR):
```
SmHo2N3
1.0
3.480 0.000 0.000
-1.740 3.014 0.000
0.000 0.000 8.520
N Ho Sm
3 2 1
Direct
0.667 0.333 0.674
0.000 0.000 0.000
0.333 0.667 0.326
0.667 0.333 0.163
0.333 0.667 0.837
0.000 0.000 0.500
```

Uncorrected energy, eV per atom: -8.121
Calculated density, kg/m3: 9706



What did the sixth record say?
This record from OQMD via LeMat-Bulk describes a geometry-optimized Ho2ScN3 structure. The functional is PBE-GGA.

Structure (POSCAR):
```
Ho2ScN3
1.0
-2.038 -0.086 -2.664
0.813 -2.845 1.583
-6.494 0.894 4.939
N Sc Ho
3 1 2
Direct
0.333 0.667 0.344
0.667 0.333 0.656
0.000 0.000 0.000
0.000 0.000 0.500
0.333 0.667 0.827
0.667 0.333 0.173
```

Uncorrected energy, eV per atom: -8.507
Calculated density, kg/m3: 8648